! Li2Zn4CuNi | Alexandria via LeMat-Bulk | PBE | relaxed; values from VASP
! Formation energy from the elements: -0.209 eV per atom
! Symmetry: No. 10
! D(E_F): 3.4 states/eV/f.u.
&SYSTEM
  ibrav = 0, nat = 8, ntyp = 4
/
ATOMIC_SPECIES
Zn 65.41 Zn.upf
Li 6.94 Li.upf
Ni 58.69 Ni.upf
Cu 63.55 Cu.upf
CELL_PARAMETERS angstrom
4.199 0.000 0.000
0.000 4.087 1.059
0.000 2.576 6.755
ATOMIC_POSITIONS crystal
Zn 0.000 0.256 0.244
Zn 0.000 0.744 0.756
Zn 0.500 0.242 0.757
Zn 0.500 0.758 0.243
Li 0.500 0.000 0.500
Li 0.000 0.000 0.000
Ni 0.500 0.500 0.000
Cu 0.000 0.500 0.500